Compound: Li5CoO4
Source: Alexandria via LeMat-Bulk
Functional: PBE with a Hubbard U
Structure: optimized geometry

Spin magnetization: 4.02 μB per formula unit
Crystal system: orthorhombic
Excess energy over the best structure of this formula in the dataset: 0.000 kcal/mol of atoms

a b c (Å): 9.198 9.252 9.223
angles (deg): 90.00 90.00 90.00
Space group Pbca (No. 61)
Unique sites:
Li  0.108  0.159  0.117 (multiplicity 8)
Li  0.113  0.643  0.889 (multiplicity 8)
Li  0.118  0.605  0.158 (multiplicity 8)
Li  0.122  0.107  0.850 (multiplicity 8)
Li  0.148  0.125  0.379 (multiplicity 8)
Co  0.149  0.619  0.613 (multiplicity 8)
O  0.008  0.747  0.536 (multiplicity 8)
O  0.035  0.501  0.744 (multiplicity 8)
O  0.247  0.017  0.006 (multiplicity 8)
O  0.248  0.741  0.745 (multiplicity 8)